Crystalline HfBiNO2 at its relaxed geometry. Source: Alexandria, functional PBEsol.

abc: 4.194 4.194 4.316
angles: 90.00 90.00 90.00
Fractional positions:
Hf: 0.000 0.000 0.000
Bi: 0.500 0.500 0.500
N: 0.500 0.500 0.000
O: 0.000 0.500 0.500
O: 0.500 0.000 0.500

Properties
Its total energy is -6.6215 eV per atom. The value obtained for the uncorrected formation energy is 0.141 eV per atom. Its crystal system is tetragonal. Its density of states at the Fermi level is 3.811 states/eV/cell.

---

Crystalline MgOs2Se at its relaxed geometry. Source: Alexandria, functional PBEsol.

abc: 4.430 4.430 4.430
angles: 60.00 60.00 60.00
Fractional positions:
Mg: 0.000 0.000 0.000
Os: 0.250 0.250 0.250
Os: 0.500 0.500 0.500
Se: 0.750 0.750 0.750

Properties
Its energy above the most stable polymorph in this dataset is 411 meV per atom. Its total energy is -6.8225 eV per atom. The value obtained for the uncorrected formation energy is 0.677 eV per atom. Its crystal system is cubic. Its density of states at the Fermi level is 3.929 states/eV/cell.